Record 1
ScPCl2 at its PBEsol-relaxed geometry, computed with SCAN.

Structure (POSCAR):
```
ScPCl2
1.0
4.495 -1.772 0.000
4.495 1.772 0.000
-1.188 0.000 6.094
Sc P Cl
1 1 2
direct
0.000 0.000 0.000
0.710 0.710 0.059
0.366 0.366 0.735
0.577 0.577 0.321
```

- Space group: Cm, No. 8
- ΔE to the lowest computed polymorph: 0.00 eV per formula unit

***

Record 2
ScPCl2 at its PBEsol-relaxed geometry, computed with SCAN.

Structure (POSCAR):
```
ScPCl2
1.0
0.000 3.304 3.304
3.304 0.000 3.304
3.304 3.304 0.000
Sc P Cl
1 1 2
direct
0.000 0.000 0.000
0.250 0.250 0.250
0.500 0.500 0.500
0.750 0.750 0.750
```

- Space group: F-43m, No. 216
- ΔE to the lowest computed polymorph: 3.21 eV per formula unit

***

Record 3
ScSiPCl2 at its PBEsol-relaxed geometry, computed with SCAN.

Structure (POSCAR):
```
ScSiPCl2
1.0
4.556 0.000 0.000
0.000 4.556 0.000
0.000 0.000 4.804
Sc Si P Cl
1 1 1 2
direct
0.000 0.000 0.000
0.500 0.500 0.500
0.500 0.500 0.000
0.000 0.500 0.500
0.500 0.000 0.500
```

- Space group: P4/mmm, No. 123

***

Record 4
ScTaPCl2 at its PBEsol-relaxed geometry, computed with SCAN.

Structure (POSCAR):
```
ScTaPCl2
1.0
4.602 0.000 0.000
0.000 4.602 0.000
0.000 0.000 5.364
Sc Ta P Cl
1 1 1 2
direct
0.000 0.000 0.000
0.500 0.500 0.500
0.000 0.000 0.500
0.000 0.500 0.000
0.500 0.000 0.000
```

- Space group: P4/mmm, No. 123

***

Record 5
ScTlPCl2 at its PBEsol-relaxed geometry, computed with SCAN.

Structure (POSCAR):
```
ScTlPCl2
1.0
4.854 0.000 0.000
0.000 4.854 0.000
0.000 0.000 5.234
Sc Tl P Cl
1 1 1 2
direct
0.000 0.000 0.000
0.500 0.500 0.500
0.000 0.000 0.500
0.000 0.500 0.000
0.500 0.000 0.000
```

- Space group: P4/mmm, No. 123

***

Record 6
YScP2Cl at its PBEsol-relaxed geometry, computed with SCAN.

Structure (POSCAR):
```
YScP2Cl
1.0
5.186 0.000 0.000
0.000 5.186 0.000
0.000 0.000 4.894
Y Sc P Cl
1 1 2 1
direct
0.000 0.000 0.000
0.500 0.500 0.500
0.000 0.500 0.000
0.500 0.000 0.000
0.000 0.000 0.500
```

- Space group: P4/mmm, No. 123

***

Number 1: raw formation energy -1.25 eV per atom. Number 2: raw formation energy -0.45 eV per atom. Number 3: raw formation energy -0.26 eV per atom. Number 4: raw formation energy -0.02 eV per atom. Number 5: raw formation energy -1.12 eV per atom. Number 6: raw formation energy -0.43 eV per atom.